1.
CuSe2 | PBE | relaxed

## Properties
Crystal system: hexagonal
Space-group type: P6/mmm
V (Å³ per cell): 57.2

Structure (POSCAR):
```
CuSe2
1.0
-3.321 -2.910 2.174
2.071 -1.375 -4.247
1.994 -1.248 1.376
Se Cu
2 1
Direct
0.667 0.333 0.500
0.333 0.667 0.500
0.000 0.000 0.000
```

2.
CuSe3 | PBE | relaxed

## Properties
Crystal system: orthorhombic
Space-group type: Pnma
V (Å³ per cell): 372.8

Structure (POSCAR):
```
CuSe3
1.0
7.931 0.000 0.000
0.000 5.575 0.000
0.000 0.000 8.431
Se Cu
12 4
Direct
0.232 0.364 0.750
0.261 0.862 0.072
0.261 0.862 0.428
0.768 0.636 0.250
0.739 0.138 0.572
0.761 0.638 0.928
0.268 0.864 0.750
0.761 0.638 0.572
0.239 0.362 0.072
0.732 0.136 0.250
0.739 0.138 0.928
0.239 0.362 0.428
0.932 0.362 0.750
0.432 0.138 0.250
0.068 0.638 0.250
0.568 0.862 0.750
```

3.
CuSe3 | PBE | relaxed

## Properties
Crystal system: hexagonal
Space-group type: P-6m2
V (Å³ per cell): 80.3

Structure (POSCAR):
```
CuSe3
1.0
-0.512 1.020 3.483
2.149 -2.867 -0.773
5.453 4.203 -0.429
Cu Se
1 3
Direct
0.000 0.000 0.000
0.667 0.333 0.212
0.667 0.333 0.788
0.000 0.000 0.500
```

4.
CuSe | PBE | relaxed

## Properties
Crystal system: tetragonal
Space-group type: P4/mmm
V (Å³ per cell): 125.2

Structure (POSCAR):
```
CuSe
1.0
5.029 0.000 0.000
0.000 5.029 0.000
0.000 0.000 4.953
Cu Se
3 3
Direct
0.500 0.500 0.000
0.500 0.000 0.500
0.000 0.500 0.500
0.500 0.000 0.000
0.000 0.500 0.000
0.500 0.500 0.500
```

5.
CuSe3 | PBE | relaxed

## Properties
Crystal system: orthorhombic
Space-group type: Imm2
V (Å³ per cell): 90.4

Structure (POSCAR):
```
CuSe3
1.0
6.329 -0.094 0.020
3.791 5.069 -0.020
-4.755 -3.108 2.793
Cu Se
1 3
Direct
0.951 0.000 0.951
0.316 0.651 0.665
0.553 0.500 0.053
0.013 0.349 0.665
```

6.
CuSe2 | PBE | relaxed

## Properties
Crystal system: tetragonal
Space-group type: P4_2/mnm
V (Å³ per cell): 136.4

Structure (POSCAR):
```
CuSe2
1.0
-4.441 -3.948 -0.469
2.109 -2.935 4.739
-2.171 2.167 2.309
Se Cu
4 2
Direct
0.663 0.337 0.500
0.837 0.837 0.000
0.163 0.163 0.000
0.337 0.663 0.500
0.500 0.500 0.000
0.000 0.000 0.500
```

no.,density of states at the Fermi level (states/eV/atom),formation energy without anion corrections (eV per atom)
1,0.708,0.53
2,0.450,0.07
3,0.636,0.25
4,0.687,0.13
5,0.740,0.15
6,0.764,0.12